Density functional theory data (GGA-PBE) for Tm3CoNi2 after structural relaxation.

The space group is Pnma (No. 62) and the conventional cell measures 10.862, 3.899 and 11.050 Å, with angles of 90.00, 90.00 and 90.00 degrees. The asymmetric unit holds Tm at (0.057, 0.250, 0.124), Tm at (0.119, 0.750, 0.557), Tm at (0.209, 0.250, 0.802), Co at (0.129, 0.250, 0.370), Ni at (0.024, 0.750, 0.310) and Ni at (0.191, 0.750, 0.994).

The crystal system is orthorhombic. Its formation energy is -378 meV per atom. The calculation puts the density of states at the Fermi level at 21.56 states/eV per cell.